No. 1
Material: Li2CeSb2
Method: DFT, PBE-GGA
State: optimized geometry

```
Li2CeSb2
1.0
4.266 0.000 0.000
0.000 4.266 0.000
0.000 0.000 12.916
Li Ce Sb
4 2 4
direct
0.000 0.500 0.250
0.000 0.500 0.750
0.500 0.000 0.250
0.500 0.000 0.750
0.000 0.000 0.000
0.500 0.500 0.500
0.000 0.000 0.383
0.000 0.000 0.617
0.500 0.500 0.117
0.500 0.500 0.883
```

Output
**E_form (uncorrected)**: -67 kJ per mole of atoms
**SG**: I4/mmm (139)
**Total moment**: 0.625 μB/f.u.

***

No. 2
Material: Pr3SmEr3S8
Method: DFT, PBE-GGA
State: optimized geometry

```
Pr3SmEr3S8
1.0
3.955 2.283 6.592
-3.955 2.283 6.592
0.000 -4.566 6.592
Pr Sm Er S
3 1 3 8
direct
0.000 0.500 0.500
0.500 0.000 0.500
0.500 0.500 0.000
0.500 0.500 0.500
0.000 0.000 0.500
0.000 0.500 0.000
0.500 0.000 0.000
0.234 0.751 0.751
0.243 0.243 0.243
0.249 0.249 0.766
0.249 0.766 0.249
0.751 0.234 0.751
0.751 0.751 0.234
0.757 0.757 0.757
0.766 0.249 0.249
```

Output
**E_form (uncorrected)**: -196 kJ per mole of atoms
**SG**: R-3m (166)
**Total moment**: 0.001 μB/f.u.